No. 1
# Tb6Co2CBr3 (GGA-PBE, optimized geometry)
data_Tb6Co2CBr3
_symmetry_space_group_name_H-M 'C 1 2/m 1'
_symmetry_Int_Tables_number 12
_cell_length_a 6.6909
_cell_length_b 11.5890
_cell_length_c 7.7537
_cell_angle_alpha 90.00
_cell_angle_beta 106.58
_cell_angle_gamma 90.00
loop_
_symmetry_equiv_pos_as_xyz
'x,y,z'
'-x,-y,-z'
'-x,y,-z'
'x,-y,z'
'x+1/2,y+1/2,z'
'-x+1/2,-y+1/2,-z'
'-x+1/2,y+1/2,-z'
'x+1/2,-y+1/2,z'
loop_
_atom_site_label
_atom_site_fract_x
_atom_site_fract_y
_atom_site_fract_z
_atom_site_occupancy
Tb1 0.2184 0.1590 0.1826 1
Tb2 0.2408 0.5000 0.1825 1
Co1 0.0000 0.3326 0.0000 1
C1 0.0000 0.0000 0.0000 1
Br1 0.0000 0.1633 0.5000 1
Br2 0.0000 0.5000 0.5000 1
# - raw total energy (eV per atom) = -5.454
# - total magnetization (Bohr magnetons per cell) = 0.00
# - crystal system = monoclinic

No. 2
# Ca2LaAs2 (GGA-PBE, optimized geometry)
data_Ca2LaAs2
_symmetry_space_group_name_H-M 'P 4/m b m'
_symmetry_Int_Tables_number 127
_symmetry_space_group_name_Hall '-P 4 2ab'
_cell_length_a 8.2117
_cell_length_b 8.2117
_cell_length_c 4.0922
_cell_angle_alpha 90.00
_cell_angle_beta 90.00
_cell_angle_gamma 90.00
loop_
_atom_site_label
_atom_site_fract_x
_atom_site_fract_y
_atom_site_fract_z
_atom_site_occupancy
Ca1 0.1417 0.3583 0.0000 1
La1 0.0000 0.0000 0.5000 1
As1 0.1638 0.6638 0.5000 1
# - raw total energy (eV per atom) = -4.705
# - total magnetization (Bohr magnetons per cell) = 0.00
# - ΔE to the lowest computed polymorph (meV/atom) = 0
# - DFT formation energy (eV/atom) = -1.06
# - crystal system = tetragonal

Please write out number 2 again, unchanged.
# Ca2LaAs2 (GGA-PBE, optimized geometry)
data_Ca2LaAs2
_symmetry_space_group_name_H-M 'P 4/m b m'
_symmetry_Int_Tables_number 127
_symmetry_space_group_name_Hall '-P 4 2ab'
_cell_length_a 8.2117
_cell_length_b 8.2117
_cell_length_c 4.0922
_cell_angle_alpha 90.00
_cell_angle_beta 90.00
_cell_angle_gamma 90.00
loop_
_atom_site_label
_atom_site_fract_x
_atom_site_fract_y
_atom_site_fract_z
_atom_site_occupancy
Ca1 0.1417 0.3583 0.0000 1
La1 0.0000 0.0000 0.5000 1
As1 0.1638 0.6638 0.5000 1
# - raw total energy (eV per atom) = -4.705
# - total magnetization (Bohr magnetons per cell) = 0.00
# - ΔE to the lowest computed polymorph (meV/atom) = 0
# - DFT formation energy (eV/atom) = -1.06
# - crystal system = tetragonal

Question: Which value of raw total energy does entry 1 give?
Answer: -5.454 eV per atom

Question: Among the records above, which one has the highest raw total energy?
Answer: Ca2LaAs2

Question: The highest raw total energy belongs to which entry?
Answer: Ca2LaAs2